This record from Alexandria via LeMat-Bulk describes a relaxed CuRe2W crystal. The functional is PBE.

* calculated volume: 59.1 Å³/cell
* uncorrected energy: -0.372 hartree per atom
* space-group type: F-43m (216)
* formation energy: 356 meV per atom

Unit cell a=4.372 b=4.372 c=4.372 alpha=60.00 beta=60.00 gamma=60.00
Positions (direct):
Re  0.000  0.000  0.000
W  0.750  0.750  0.750
Cu  0.500  0.500  0.500
Re  0.250  0.250  0.250